Density functional theory data (PBE with a Hubbard U) for an optimized crystal structure of Li2V2O5.

```
Li2V2O5
1.0
3.357 0.000 -0.729
-0.154 5.103 -0.711
-0.394 -0.090 6.277
V O Li
2 5 2
Direct
0.854 0.116 0.708
0.146 0.884 0.292
0.000 0.000 0.000
0.118 0.552 0.236
0.318 0.949 0.636
0.682 0.051 0.364
0.882 0.448 0.764
0.585 0.317 0.170
0.415 0.683 0.830
```

## Properties
Fermi-level density of states = 0.000 states/eV per atom
final energy = -6.83 eV/atom
space-group type = C2/m, No. 12